The following is a DFT calculation (GGA-PBE) of a relaxed structure of Ce3ErSe6.

Summary:
The value obtained for the offset from the most stable computed form is 0 meV/atom. As for the symmetry: P2_1/c. Its theoretical density is 6.1 g cm⁻³. The value obtained for the formation energy without anion corrections is -172 kJ per mole of atoms.

Cell and atoms, written as POSCAR:
```
Ce3ErSe6
1.0
7.028 0.000 0.000
0.000 7.778 0.000
-6.876 0.000 10.508
Ce Er Se
6 2 12
direct
0.000 0.000 0.000 Ce
0.000 0.500 0.500 Ce
0.295 0.103 0.752 Ce
0.295 0.397 0.252 Ce
0.705 0.603 0.748 Ce
0.705 0.897 0.248 Ce
0.500 0.000 0.500 Er
0.500 0.500 0.000 Er
0.100 0.059 0.256 Se
0.100 0.441 0.756 Se
0.252 0.679 0.077 Se
0.252 0.821 0.577 Se
0.409 0.186 0.076 Se
0.409 0.314 0.576 Se
0.591 0.686 0.424 Se
0.591 0.814 0.924 Se
0.748 0.179 0.423 Se
0.748 0.321 0.923 Se
0.900 0.559 0.244 Se
0.900 0.941 0.744 Se
```

The following is a DFT calculation (GGA-PBE) of a relaxed structure of Ce4Er3Se8.

Summary:
The value obtained for the offset from the most stable computed form is 207 meV/atom. As for the symmetry: R-3m. Its theoretical density is 6.4 g cm⁻³. The value obtained for the formation energy without anion corrections is -153 kJ per mole of atoms.

Cell and atoms, written as POSCAR:
```
Ce4Er3Se8
1.0
4.061 2.344 7.687
-4.061 2.344 7.687
0.000 -4.689 7.687
Ce Er Se
4 3 8
direct
0.000 0.000 0.000 Ce
0.146 0.146 0.146 Ce
0.500 0.500 0.500 Ce
0.854 0.854 0.854 Ce
0.000 0.500 0.500 Er
0.500 0.000 0.500 Er
0.500 0.500 0.000 Er
0.250 0.250 0.732 Se
0.250 0.732 0.250 Se
0.268 0.750 0.750 Se
0.269 0.269 0.269 Se
0.731 0.731 0.731 Se
0.732 0.250 0.250 Se
0.750 0.268 0.750 Se
0.750 0.750 0.268 Se
```

The following is a DFT calculation (GGA-PBE) of a relaxed structure of Ce4ErSe5.

Summary:
As for the symmetry: I4/mmm. Its theoretical density is 7.3 g cm⁻³. The value obtained for the formation energy without anion corrections is -173 kJ per mole of atoms.

Cell and atoms, written as POSCAR:
```
Ce4ErSe5
1.0
-2.084 2.084 14.716
2.084 -2.084 14.716
2.084 2.084 -14.716
Ce Er Se
4 1 5
direct
0.100 0.100 0.000 Ce
0.301 0.301 0.000 Ce
0.699 0.699 0.000 Ce
0.900 0.900 0.000 Ce
0.500 0.500 0.000 Er
0.000 0.000 0.000 Se
0.201 0.201 0.000 Se
0.403 0.403 0.000 Se
0.597 0.597 0.000 Se
0.799 0.799 0.000 Se
```

The following is a DFT calculation (GGA-PBE) of a relaxed structure of CeErSe3.

Summary:
As for the symmetry: Pnma. Its theoretical density is 7.1 g cm⁻³. The value obtained for the formation energy without anion corrections is -178 kJ per mole of atoms.

Cell and atoms, written as POSCAR:
```
CeErSe3
1.0
7.721 0.000 0.000
0.000 4.136 0.000
0.000 0.000 15.960
Ce Er Se
4 4 12
direct
0.138 0.250 0.202 Ce
0.362 0.750 0.702 Ce
0.638 0.250 0.298 Ce
0.862 0.750 0.798 Ce
0.231 0.750 0.457 Er
0.269 0.250 0.957 Er
0.731 0.750 0.043 Er
0.769 0.250 0.543 Er
0.009 0.250 0.395 Se
0.123 0.750 0.063 Se
0.152 0.250 0.783 Se
0.348 0.750 0.283 Se
0.377 0.250 0.563 Se
0.491 0.750 0.895 Se
0.509 0.250 0.105 Se
0.623 0.750 0.437 Se
0.652 0.250 0.717 Se
0.848 0.750 0.217 Se
0.877 0.250 0.937 Se
0.991 0.750 0.605 Se
```

The following is a DFT calculation (GGA-PBE) of a relaxed structure of CeEr2Se4.

Summary:
The value obtained for the offset from the most stable computed form is 0 meV/atom. As for the symmetry: Pnma. Its theoretical density is 7.1 g cm⁻³. The value obtained for the formation energy without anion corrections is -179 kJ per mole of atoms.

Cell and atoms, written as POSCAR:
```
CeEr2Se4
1.0
13.563 0.000 0.000
0.000 4.026 0.000
0.000 0.000 13.605
Ce Er Se
4 8 16
direct
0.130 0.250 0.089 Ce
0.370 0.750 0.589 Ce
0.630 0.250 0.411 Ce
0.870 0.750 0.911 Ce
0.107 0.750 0.426 Er
0.151 0.750 0.801 Er
0.349 0.250 0.301 Er
0.393 0.250 0.926 Er
0.607 0.750 0.074 Er
0.651 0.750 0.699 Er
0.849 0.250 0.199 Er
0.893 0.250 0.574 Er
0.032 0.750 0.624 Se
0.033 0.250 0.884 Se
0.212 0.750 0.240 Se
0.243 0.250 0.481 Se
0.257 0.750 0.981 Se
0.288 0.250 0.740 Se
0.467 0.750 0.384 Se
0.468 0.250 0.124 Se
0.532 0.750 0.876 Se
0.533 0.250 0.616 Se
0.712 0.750 0.260 Se
0.743 0.250 0.019 Se
0.757 0.750 0.519 Se
0.788 0.250 0.760 Se
0.967 0.750 0.116 Se
0.968 0.250 0.376 Se
```

The following is a DFT calculation (GGA-PBE) of a relaxed structure of CeErSe.

Summary:
The value obtained for the offset from the most stable computed form is 0 meV/atom. As for the symmetry: Pmmn. Its theoretical density is 9.2 g cm⁻³. The value obtained for the formation energy without anion corrections is -99 kJ per mole of atoms.

Cell and atoms, written as POSCAR:
```
CeErSe
1.0
4.029 0.000 0.000
0.000 4.031 0.000
0.000 0.000 8.591
Ce Er Se
2 2 2
direct
0.250 0.250 0.001 Ce
0.750 0.750 0.999 Ce
0.250 0.750 0.366 Er
0.750 0.250 0.634 Er
0.250 0.750 0.707 Se
0.750 0.250 0.293 Se
```

> The highest theoretical density belongs to which entry?

CeErSe

> Which value of formation energy without anion corrections does entry 5 give?

-179 kJ per mole of atoms